# 1
{"formula": "NaLaAlCd", "functional": "GGA-PBE", "state": "optimized geometry", "rho_g_cm3": 4.70, "dos_at_fermi_per_ev_cell": 1.95, "space_group": "F-43m", "lattice": [[5.320, 0.000, 0.000], [2.660, 4.608, 0.000], [2.660, 1.536, 4.344]], "species": ["Al", "La", "Na", "Cd"], "frac_coords": [[0.750, 0.750, 0.750], [0.000, 0.000, 0.000], [0.500, 0.500, 0.500], [0.250, 0.250, 0.250]]}

***

# 2
{"formula": "La5NdAlCd2", "functional": "GGA-PBE", "state": "optimized geometry", "rho_g_cm3": 6.06, "dos_at_fermi_per_ev_cell": 23.89, "space_group": "I4/mcm", "lattice": [[7.860, 0.000, 0.000], [0.000, 7.860, 0.000], [-3.930, -3.930, 9.667]], "species": ["Nd", "Cd", "La", "La", "Cd", "Cd", "La", "Al", "La", "La", "La", "La", "La", "Nd", "Al", "La", "La", "Cd"], "frac_coords": [[0.250, 0.250, 0.500], [0.120, 0.380, 0.000], [0.153, 0.069, 0.722], [0.569, 0.653, 0.722], [0.880, 0.620, 0.000], [0.380, 0.880, 0.000], [0.847, 0.931, 0.278], [0.750, 0.250, 0.500], [0.653, 0.153, 0.722], [0.000, 0.000, 0.000], [0.500, 0.500, 0.000], [0.347, 0.847, 0.278], [0.069, 0.569, 0.722], [0.750, 0.750, 0.500], [0.250, 0.750, 0.500], [0.931, 0.431, 0.278], [0.431, 0.347, 0.278], [0.620, 0.120, 0.000]]}

***

# 3
{"formula": "LaNdAlCd", "functional": "GGA-PBE", "state": "optimized geometry", "rho_g_cm3": 6.27, "dos_at_fermi_per_ev_cell": 1.91, "space_group": "P4mm", "lattice": [[-0.467, 2.760, -2.392], [-2.909, 1.177, 1.926], [4.948, 4.781, 4.551]], "species": ["La", "Cd", "Nd", "Al"], "frac_coords": [[0.500, 0.500, 0.123], [0.000, 0.000, 0.848], [0.500, 0.500, 0.594], [0.000, 0.000, 0.364]]}

***

# 4
{"formula": "LaNdAlCd", "functional": "GGA-PBE", "state": "optimized geometry", "rho_g_cm3": 6.19, "dos_at_fermi_per_ev_cell": 5.19, "space_group": "F-43m", "lattice": [[5.433, 0.000, 0.000], [2.717, 4.705, 0.000], [2.717, 1.568, 4.436]], "species": ["Al", "Cd", "La", "Nd"], "frac_coords": [[0.250, 0.250, 0.250], [0.750, 0.750, 0.750], [0.500, 0.500, 0.500], [0.000, 0.000, 0.000]]}

***

Number 1: total DFT energy (no corrections) -11.48 eV for the cell shown. Number 2: total DFT energy (no corrections) -71.20 eV for the cell shown. Number 3: total DFT energy (no corrections) -15.75 eV for the cell shown. Number 4: total DFT energy (no corrections) -15.66 eV for the cell shown.